This record from the Alexandria database describes Re2AgTe after structural relaxation. The functional is PBE.

Cell lengths 3.166, 4.589, 4.875 Å; angles 90.00, 90.00, 90.00 degrees
Sites, in units of the cell vectors:
Ag: 0.000 0.500 0.500
Te: 0.500 0.000 0.500
Re: 0.500 0.500 0.000
Re: 0.000 0.000 0.000

Output
- symmetry = No. 47
- spin magnetization (μB per cell) = 0.00
- electronic total energy (eV/atom) = -6.67
- crystal system = orthorhombic
- E_form (uncorrected) (eV/atom) = 1.05